[1]
The following is a DFT calculation (PBE) of a relaxed RbPmSeO crystal. Values from VASP.

Values from the calculation:
Energy above the lowest structure with this stoichiometry ... 0.002 eV/atom
Size of the total moment ... 0.00 μB per formula unit
Theoretical density ... 5188 kg/m3
Symmetry ... P2_1/c (14)

```
&SYSTEM
  ibrav = 0, nat = 16, ntyp = 4
/
ATOMIC_SPECIES
Rb 85.47 Rb.upf
Pm 145.00 Pm.upf
Se 78.96 Se.upf
O 16.00 O.upf
ATOMIC_POSITIONS crystal
Rb 0.086 0.227 0.492
Rb 0.086 0.273 0.992
Rb 0.914 0.727 0.008
Rb 0.914 0.773 0.508
Pm 0.474 0.628 0.778
Pm 0.474 0.872 0.278
Pm 0.526 0.128 0.722
Pm 0.526 0.372 0.222
Se 0.248 0.588 0.356
Se 0.248 0.912 0.856
Se 0.752 0.088 0.144
Se 0.752 0.412 0.644
O 0.409 0.148 0.384
O 0.409 0.352 0.884
O 0.591 0.648 0.116
O 0.591 0.852 0.616
CELL_PARAMETERS angstrom
8.134 0.000 0.000
0.000 7.697 0.000
-1.451 0.000 6.655
```

---

[2]
The following is a DFT calculation (PBE) of a relaxed PmReO5 crystal. Values from VASP.

Values from the calculation:
Size of the total moment ... 0.00 μB per formula unit
Theoretical density ... 6782 kg/m3
E_tot ... -114.8 eV for the cell shown
Symmetry ... C2/c (15)

```
&SYSTEM
  ibrav = 0, nat = 14, ntyp = 3
/
ATOMIC_SPECIES
Pm 145.00 Pm.upf
Re 186.21 Re.upf
O 16.00 O.upf
ATOMIC_POSITIONS crystal
Pm 0.054 0.946 0.750
Pm 0.946 0.054 0.250
Re 0.500 0.500 0.000
Re 0.500 0.500 0.500
O 0.202 0.776 0.036
O 0.224 0.798 0.464
O 0.263 0.294 0.386
O 0.294 0.263 0.886
O 0.433 0.567 0.750
O 0.567 0.433 0.250
O 0.706 0.737 0.114
O 0.737 0.706 0.614
O 0.776 0.202 0.536
O 0.798 0.224 0.964
CELL_PARAMETERS angstrom
4.535 -3.228 0.000
4.535 3.228 0.000
-3.164 0.000 6.879
```

---

[3]
The following is a DFT calculation (PBE) of a relaxed PmRe2O4 crystal. Values from VASP.

Values from the calculation:
Size of the total moment ... 3.00 μB per formula unit
Theoretical density ... 10237 kg/m3
E_tot ... -114.7 eV for the cell shown
Symmetry ... Fd-3m (227)

```
&SYSTEM
  ibrav = 0, nat = 14, ntyp = 3
/
ATOMIC_SPECIES
Pm 145.00 Pm.upf
Re 186.21 Re.upf
O 16.00 O.upf
ATOMIC_POSITIONS crystal
Pm 0.125 0.125 0.125
Pm 0.875 0.875 0.875
Re 0.000 0.500 0.500
Re 0.500 0.000 0.500
Re 0.500 0.500 0.000
Re 0.500 0.500 0.500
O 0.269 0.269 0.269
O 0.269 0.269 0.692
O 0.269 0.692 0.269
O 0.308 0.731 0.731
O 0.692 0.269 0.269
O 0.731 0.308 0.731
O 0.731 0.731 0.308
O 0.731 0.731 0.731
CELL_PARAMETERS angstrom
0.000 4.552 4.552
4.552 0.000 4.552
4.552 4.552 0.000
```

---

[4]
The following is a DFT calculation (PBE) of a relaxed Pm2Re2O5 crystal. Values from VASP.

Values from the calculation:
Energy above the lowest structure with this stoichiometry ... 0.547 eV/atom
Size of the total moment ... 1.42 μB per formula unit
Theoretical density ... 10066 kg/m3
Symmetry ... P4/mmm (123)

```
&SYSTEM
  ibrav = 0, nat = 9, ntyp = 3
/
ATOMIC_SPECIES
Pm 145.00 Pm.upf
Re 186.21 Re.upf
O 16.00 O.upf
ATOMIC_POSITIONS crystal
Pm 0.000 0.000 0.234
Pm 0.000 0.000 0.766
Re 0.500 0.500 0.000
Re 0.500 0.500 0.500
O 0.000 0.000 0.000
O 0.000 0.500 0.384
O 0.000 0.500 0.616
O 0.500 0.000 0.384
O 0.500 0.000 0.616
CELL_PARAMETERS angstrom
3.542 0.000 0.000
0.000 3.542 0.000
0.000 0.000 9.764
```

---

[5]
The following is a DFT calculation (PBE) of a relaxed Pm2Re2O5 crystal. Values from VASP.

Values from the calculation:
Energy above the lowest structure with this stoichiometry ... 0.000 eV/atom
Size of the total moment ... 0.00 μB per formula unit
Theoretical density ... 11193 kg/m3
Symmetry ... P4/mmm (123)

```
&SYSTEM
  ibrav = 0, nat = 9, ntyp = 3
/
ATOMIC_SPECIES
Pm 145.00 Pm.upf
Re 186.21 Re.upf
O 16.00 O.upf
ATOMIC_POSITIONS crystal
Pm 0.000 0.000 0.000
Pm 0.000 0.000 0.500
Re 0.500 0.500 0.176
Re 0.500 0.500 0.824
O 0.000 0.500 0.240
O 0.000 0.500 0.760
O 0.500 0.000 0.240
O 0.500 0.000 0.760
O 0.500 0.500 0.500
CELL_PARAMETERS angstrom
4.026 0.000 0.000
0.000 4.026 0.000
0.000 0.000 6.794
```

---

[6]
The following is a DFT calculation (PBE) of a relaxed PmS2O8 crystal. Values from VASP.

Values from the calculation:
Size of the total moment ... 1.00 μB per formula unit
Theoretical density ... 4332 kg/m3
E_tot ... -70.9 eV for the cell shown
Symmetry ... C2/m (12)

```
&SYSTEM
  ibrav = 0, nat = 11, ntyp = 3
/
ATOMIC_SPECIES
Pm 145.00 Pm.upf
S 32.06 S.upf
O 16.00 O.upf
ATOMIC_POSITIONS crystal
Pm 0.000 0.000 0.000
S 0.205 0.205 0.693
S 0.795 0.795 0.307
O 0.094 0.620 0.223
O 0.155 0.155 0.424
O 0.373 0.373 0.802
O 0.380 0.906 0.777
O 0.620 0.094 0.223
O 0.627 0.627 0.198
O 0.845 0.845 0.576
O 0.906 0.380 0.777
CELL_PARAMETERS angstrom
4.732 -2.502 0.000
4.732 2.502 0.000
-2.184 0.000 5.457
```

---

[7]
The following is a DFT calculation (PBE) of a relaxed Pm2S2O crystal. Values from VASP.

Values from the calculation:
Size of the total moment ... 0.00 μB per formula unit
Theoretical density ... 5773 kg/m3
E_tot ... -71.0 eV for the cell shown
Symmetry ... Cmc2_1 (36)

```
&SYSTEM
  ibrav = 0, nat = 10, ntyp = 3
/
ATOMIC_SPECIES
Pm 145.00 Pm.upf
S 32.06 S.upf
O 16.00 O.upf
ATOMIC_POSITIONS crystal
Pm 0.052 0.948 0.500
Pm 0.335 0.665 0.398
Pm 0.665 0.335 0.898
Pm 0.948 0.052 0.000
S 0.299 0.701 0.017
S 0.454 0.546 0.695
S 0.546 0.454 0.195
S 0.701 0.299 0.517
O 0.094 0.906 0.833
O 0.906 0.094 0.333
CELL_PARAMETERS angstrom
1.972 -7.536 0.000
1.972 7.536 0.000
0.000 0.000 7.165
```

---

[8]
The following is a DFT calculation (PBE) of a relaxed TbPmSO2 crystal. Values from VASP.

Values from the calculation:
Size of the total moment ... 0.00 μB per formula unit
Theoretical density ... 7064 kg/m3
E_tot ... -39.2 eV for the cell shown
Symmetry ... P3m1 (156)

```
&SYSTEM
  ibrav = 0, nat = 5, ntyp = 4
/
ATOMIC_SPECIES
Tb 158.93 Tb.upf
Pm 145.00 Pm.upf
S 32.06 S.upf
O 16.00 O.upf
ATOMIC_POSITIONS crystal
Tb 0.000 0.000 0.000
Pm 0.667 0.333 0.438
S 0.333 0.667 0.722
O 0.000 0.000 0.342
O 0.667 0.333 0.083
CELL_PARAMETERS angstrom
3.868 0.000 0.000
-1.934 3.349 0.000
0.000 0.000 6.678
```

---

[9]
The following is a DFT calculation (PBE) of a relaxed PmTmSO2 crystal. Values from VASP.

Values from the calculation:
Size of the total moment ... 0.00 μB per formula unit
Theoretical density ... 7478 kg/m3
E_tot ... -39.1 eV for the cell shown
Symmetry ... P3m1 (156)

```
&SYSTEM
  ibrav = 0, nat = 5, ntyp = 4
/
ATOMIC_SPECIES
Pm 145.00 Pm.upf
Tm 168.93 Tm.upf
S 32.06 S.upf
O 16.00 O.upf
ATOMIC_POSITIONS crystal
Pm 0.000 0.000 0.000
Tm 0.333 0.667 0.563
S 0.667 0.333 0.288
O 0.000 0.000 0.641
O 0.333 0.667 0.899
CELL_PARAMETERS angstrom
3.827 0.000 0.000
-1.913 3.314 0.000
0.000 0.000 6.619
```

---

[10]
The following is a DFT calculation (PBE) of a relaxed Pm2Sb2O5 crystal. Values from VASP.

Values from the calculation:
Energy above the lowest structure with this stoichiometry ... 0.000 eV/atom
Size of the total moment ... 0.00 μB per formula unit
Theoretical density ... 6999 kg/m3
Symmetry ... P4/mmm (123)

```
&SYSTEM
  ibrav = 0, nat = 9, ntyp = 3
/
ATOMIC_SPECIES
Pm 145.00 Pm.upf
Sb 121.76 Sb.upf
O 16.00 O.upf
ATOMIC_POSITIONS crystal
Pm 0.000 0.000 0.244
Pm 0.000 0.000 0.756
Sb 0.500 0.500 0.000
Sb 0.500 0.500 0.500
O 0.000 0.000 0.000
O 0.000 0.500 0.367
O 0.000 0.500 0.633
O 0.500 0.000 0.367
O 0.500 0.000 0.633
CELL_PARAMETERS angstrom
3.865 0.000 0.000
0.000 3.865 0.000
0.000 0.000 9.743
```